# 1
LiAc3U3Se8: optimized geometry, GGA-PBE.

Results
- Fermi-level density of states: 21.09 states/eV/f.u.
- ρ: 7.8 g/cm3
- Formation energy (no corrections): -1403 meV per atom
- Space-group type: No. 12

```
15
Lattice="8.4220 -0.0423 -0.0181 -4.2478 7.2779 -0.0089 0.0088 -4.8042 7.1381" Properties=species:S:1:pos:R:3 pbc="T T T"
Li 0.0044 -2.4021 3.5690
Ac 0.0000 0.0000 0.0000
Ac -2.1239 3.6390 -0.0045
Ac 2.0871 3.6178 -0.0135
U 4.2154 -2.4232 3.5600
U 2.0915 1.2157 3.5555
U -2.1195 1.2369 3.5646
Se -0.0206 2.4304 1.9428
Se 4.2036 0.0010 5.1683
Se 4.1941 2.4118 1.9484
Se -0.0112 0.0197 5.1627
Se 6.2906 -1.2163 1.9372
Se -2.1076 3.6478 5.1739
Se 2.1022 -1.2138 1.9622
Se 2.0808 3.6452 5.1489
```

***

# 2
LiAc2USe6: optimized geometry, GGA-PBE.

Results
- ρ: 6.5 g/cm3
- Formation energy (no corrections): -1550 meV per atom
- Space-group type: No. 146

```
10
Lattice="7.4693 0.0001 0.0003 3.7347 6.4685 0.0001 3.7345 2.1564 6.1883" Properties=species:S:1:pos:R:3 pbc="T T T"
Li 11.2040 6.4687 3.4224
Ac 7.4693 4.3124 2.3855
Ac 3.7345 2.1564 5.6249
U 3.7347 2.1562 0.2232
Se 5.9970 1.6681 1.7101
Se 5.9153 6.9096 1.7100
Se 10.4956 4.3598 1.7103
Se 8.8668 6.0015 4.7504
Se 8.2332 2.2578 4.7504
Se 5.3077 4.6784 4.7503
```

***

# 3
LiAc2YSe4: optimized geometry, GGA-PBE.

Results
- Fermi-level density of states: 2.99 states/eV/f.u.
- ρ: 6.5 g/cm3
- Formation energy (no corrections): -1753 meV per atom
- Space-group type: No. 10

```
8
Lattice="-4.1459 1.0740 -0.2322 -1.4426 -4.3304 5.7269 0.6548 3.8928 6.3118" Properties=species:S:1:pos:R:3 pbc="T T T"
Li -2.1394 2.2646 9.0591
Ac 0.6548 3.8928 6.3118
Ac -1.7455 2.4834 3.0398
Y -0.3939 -0.2187 6.0194
Se -0.5431 -0.1644 8.9345
Se -4.3906 0.8008 2.8720
Se -2.9459 -1.5910 5.6274
Se -1.9877 2.2274 6.1791
```

***

# 4
Li3Ac2YSe6: optimized geometry, GGA-PBE.

Results
- Fermi-level density of states: 0.00 states/eV/f.u.
- ρ: 5.6 g/cm3
- Formation energy (no corrections): -1712 meV per atom
- Space-group type: No. 12

```
12
Lattice="4.2760 0.0000 0.0000 0.0000 7.8229 1.1236 -2.1380 -1.4058 8.9159" Properties=species:S:1:pos:R:3 pbc="T T T"
Li 2.1380 3.9114 0.5618
Li 2.1380 1.0710 7.0408
Li 0.0000 5.3461 2.9988
Ac 2.1380 4.9588 6.3136
Ac 0.0000 1.4583 3.7260
Y 2.1380 0.0000 0.0000
Se 0.0000 -0.7485 6.1034
Se 2.1380 3.6674 3.4020
Se 2.1380 7.1656 3.9361
Se 0.0000 1.8823 0.5622
Se 2.1380 4.5347 9.4773
Se 0.0000 2.7497 6.6375
```

***

# 5
LiAc3Y3Se8: optimized geometry, GGA-PBE.

Results
- Fermi-level density of states: 4.49 states/eV/f.u.
- ρ: 6.1 g/cm3
- Formation energy (no corrections): -1817 meV per atom
- Space-group type: No. 166

```
15
Lattice="-7.5371 0.8919 3.5984 3.1004 -7.6787 -1.4058 3.4953 4.8864 6.1100" Properties=species:S:1:pos:R:3 pbc="T T T"
Li 1.7477 2.4432 3.0550
Ac 0.0000 0.0000 0.0000
Ac 1.5502 -3.8394 -0.7029
Ac -2.2183 -3.3934 1.0963
Y -2.0209 2.8892 4.8542
Y -0.4707 -0.9502 4.1513
Y 3.2979 -1.3962 2.3521
Se 0.6214 -2.3927 1.8946
Se -1.5627 0.4923 6.4080
Se -3.1547 -1.9321 3.6743
Se 2.2134 0.0317 4.6283
Se -4.6945 1.8825 4.3723
Se 3.7531 -3.7829 3.9303
Se -0.9513 1.4395 2.5852
Se 0.0100 -3.3400 5.7173
```

***

# 6
LiAc4Y3Se8: optimized geometry, GGA-PBE.

Results
- Fermi-level density of states: 9.90 states/eV/f.u.
- ρ: 6.8 g/cm3
- Formation energy (no corrections): -1780 meV per atom
- Space-group type: No. 166

```
16
Lattice="-7.6532 -3.6619 -0.0871 3.6807 -7.7135 0.8838 1.7084 6.1254 5.6171" Properties=species:S:1:pos:R:3 pbc="T T T"
Li 1.8403 -3.8567 0.4419
Ac -3.8266 -1.8309 -0.0436
Ac -2.9724 1.2318 2.7650
Ac 0.0000 0.0000 0.0000
Ac 0.8542 3.0627 2.8086
Y -1.9863 -5.6877 0.3984
Y -1.1321 -2.6250 3.2069
Y 2.6945 -0.7941 3.2505
Se 2.5077 -0.3987 6.1282
Se 1.6408 -3.5072 3.2780
Se -0.0766 0.0854 3.1343
Se -1.3760 -2.2570 6.0840
Se -0.8881 -2.9930 0.3298
Se -2.1876 -5.3354 3.2796
Se -3.9049 -1.7428 3.1358
Se -4.7719 -4.8512 0.2856
```

***

# 7
LiAcYSe3: optimized geometry, GGA-PBE.

Results
- Fermi-level density of states: 2.75 states/eV/f.u.
- ρ: 5.9 g/cm3
- Formation energy (no corrections): -1727 meV per atom
- Space-group type: No. 11

```
12
Lattice="-3.6501 1.4998 1.2552 -2.7533 -8.0431 1.6042 3.7834 2.6796 7.8003" Properties=species:S:1:pos:R:3 pbc="T T T"
Li 1.0696 1.2393 5.0451
Li -3.6896 -5.1029 5.6145
Ac -0.5696 -0.5498 2.4160
Ac -2.0503 -3.3139 8.2437
Y -2.1573 -4.5585 2.5892
Y -0.4627 0.6949 8.0705
Se -4.7108 -5.7443 3.4114
Se 2.0908 1.8807 7.2483
Se -1.2173 -4.6186 5.3943
Se -1.4026 0.7550 5.2653
Se -3.2874 -1.9563 3.0243
Se 0.6674 -1.9074 7.6354
```

***

# 8
Li3Ac2ZrSe6: optimized geometry, GGA-PBE.

Results
- Fermi-level density of states: 4.87 states/eV/f.u.
- ρ: 5.6 g/cm3
- Formation energy (no corrections): -1517 meV per atom
- Space-group type: No. 12

```
12
Lattice="7.4188 -0.0604 0.0516 -3.7599 6.3957 0.0516 -1.1756 -2.0355 6.5128" Properties=species:S:1:pos:R:3 pbc="T T T"
Li -2.8430 4.5090 3.3080
Li 5.3264 -0.2092 3.3080
Li 1.2417 2.1499 3.3080
Ac -0.0796 4.2702 0.0516
Ac 3.7385 2.0651 0.0516
Zr 0.0000 0.0000 0.0000
Se 3.5966 2.4076 4.8827
Se 2.5239 4.3701 1.7043
Se -1.1133 1.8922 1.7333
Se 0.2880 4.3185 4.8827
Se -0.0406 -0.0703 4.9117
Se 2.1954 -0.0186 1.7333
```

***

# 9
Li3Ac2Si: optimized geometry, GGA-PBE.

Results
- Fermi-level density of states: 5.09 states/eV/f.u.
- ρ: 5.2 g/cm3
- Formation energy (no corrections): -98 meV per atom
- Space-group type: No. 69

```
12
Lattice="-0.9882 -5.1213 3.4608 5.4137 -0.4718 3.1065 -5.3355 7.5662 2.8827" Properties=species:S:1:pos:R:3 pbc="T T T"
Li 2.6922 -3.2593 5.8743
Li -1.5567 2.6472 6.6112
Li -3.6021 5.2324 3.5758
Li 0.6467 -0.6741 2.8388
Li -1.0918 1.6677 2.1560
Li 0.1819 0.3054 7.2940
Ac -2.0555 -0.1758 4.8136
Ac 0.5867 -3.9775 3.3737
Ac 1.1455 2.1489 4.6364
Ac 3.8388 -1.6156 3.1937
Si 1.1738 -1.2097 5.3352
Si -2.0838 3.1828 4.1148
```

***

# 10
LiAc2Si: optimized geometry, GGA-PBE.

Results
- Fermi-level density of states: 2.30 states/eV/f.u.
- ρ: 6.9 g/cm3
- Formation energy (no corrections): -200 meV per atom
- Space-group type: No. 225

```
4
Lattice="-4.6544 -0.7257 2.8312 0.1539 -2.2564 5.0091 -1.0279 3.0802 4.4342" Properties=species:S:1:pos:R:3 pbc="T T T"
Ac -4.1464 0.0735 9.2059
Ac -1.3821 0.0245 3.0686
Si 0.0000 0.0000 0.0000
Li -2.7642 0.0490 6.1373
```

***

# 11
LiAc4Si2: optimized geometry, GGA-PBE.

Results
- Fermi-level density of states: 7.51 states/eV/f.u.
- ρ: 7.0 g/cm3
- Formation energy (no corrections): -237 meV per atom
- Space-group type: No. 5

```
14
Lattice="-0.5240 6.6553 5.1689 -7.0092 -0.0983 -4.7075 0.6845 -7.1495 4.4391" Properties=species:S:1:pos:R:3 pbc="T T T"
Li -5.0437 -1.9888 -0.0163
Li 0.6793 -7.1473 4.4362
Ac -1.5120 -2.8295 0.6071
Ac -3.5104 0.7694 0.8257
Ac -4.3000 1.3332 4.2309
Ac -0.8871 -0.4313 6.5128
Ac -6.9963 0.7414 -1.5547
Ac -0.6097 -3.7386 3.9073
Ac -4.9529 -3.1420 3.0356
Ac -4.6260 4.9273 2.0374
Si -2.4615 -1.1768 3.5889
Si -6.2693 2.2247 1.4270
Si -1.9921 3.2437 2.6083
Si -2.9719 -5.4744 2.1772
```

***

# 12
Li4Ac3Si4: optimized geometry, GGA-PBE.

Results
- Fermi-level density of states: 6.32 states/eV/f.u.
- ρ: 5.4 g/cm3
- Formation energy (no corrections): -418 meV per atom
- Space-group type: No. 71

```
11
Lattice="4.4979 0.0000 0.0000 0.0000 4.4308 0.0000 -2.2490 -2.2154 12.7800" Properties=species:S:1:pos:R:3 pbc="T T T"
Li 0.0000 0.0000 6.3896
Li 0.0000 2.2154 2.4948
Li 2.2490 0.0000 10.2852
Li 2.2490 2.2154 6.3904
Ac 0.0000 2.2154 8.8548
Ac 2.2490 0.0000 3.9252
Ac 0.0000 0.0000 0.0000
Si 2.2490 0.0000 7.7912
Si 0.0000 0.0000 11.5697
Si 2.2490 2.2154 1.2103
Si 0.0000 2.2154 4.9888
```

***

# 13
LiAc2Si3: optimized geometry, GGA-PBE.

Results
- Fermi-level density of states: 2.80 states/eV/f.u.
- ρ: 6.3 g/cm3
- Formation energy (no corrections): -595 meV per atom
- Space-group type: No. 69

```
12
Lattice="5.9004 0.8948 -1.8746 -1.0750 5.8703 -1.8746 -0.6500 -0.9113 8.6026" Properties=species:S:1:pos:R:3 pbc="T T T"
Li 1.1780 1.6515 4.4962
Li 2.9975 4.2023 0.3572
Ac 0.3439 4.1708 2.4267
Ac 3.6426 5.1068 -2.8301
Ac 3.8316 1.6830 2.4267
Ac 1.1829 1.6583 -0.9190
Si 3.2385 0.8070 5.6245
Si 4.4668 2.5290 -0.7711
Si 0.9369 5.0468 -0.7711
Si -0.2913 3.3248 5.6245
Si 3.5975 5.0435 2.6475
Si 0.5780 0.8103 2.2060
```

***

# 14
Li3AcSi3: optimized geometry, GGA-PBE.

Results
- Fermi-level density of states: 1.07 states/eV/f.u.
- ρ: 3.3 g/cm3
- Formation energy (no corrections): -351 meV per atom
- Space-group type: No. 176

```
14
Lattice="-0.8326 0.8668 -3.7218 1.8303 -9.3524 -2.5877 -9.1215 2.6919 2.6674" Properties=species:S:1:pos:R:3 pbc="T T T"
Li -0.1138 -6.2227 -4.5063
Li -2.1772 -1.8369 -3.0232
Li -5.0427 -6.0030 -3.3525
Li -8.0099 0.4290 0.8643
Li -5.9465 -3.9568 -0.6188
Li -3.0810 0.2092 -0.2895
Ac -6.0955 -0.6731 -1.8756
Ac -2.0281 -5.1206 -1.7664
Si -2.6500 -7.2002 -4.1666
Si -0.1670 -3.5007 -3.8604
Si -4.5169 -3.3615 -2.8549
Si -5.4737 1.4064 0.5246
Si -7.9567 -2.2930 0.2184
Si -3.6067 -2.4322 -0.7871
```

***

# 15
Li2Ac3Si3: optimized geometry, GGA-PBE.

Results
- Fermi-level density of states: 3.65 states/eV/f.u.
- ρ: 6.3 g/cm3
- Formation energy (no corrections): -470 meV per atom
- Space-group type: No. 63

```
16
Lattice="4.6219 0.0000 0.0000 -2.3109 5.7327 0.0000 0.0000 0.0000 15.5539" Properties=species:S:1:pos:R:3 pbc="T T T"
Li 2.3109 3.3761 14.2752
Li 0.0000 2.3566 6.4982
Li 2.3109 3.3761 9.0557
Li 0.0000 2.3566 1.2788
Ac 2.3109 4.6409 6.0645
Ac 0.0000 1.0918 13.8414
Ac 2.3109 4.6409 1.7125
Ac 0.0000 1.0918 9.4895
Ac 2.3109 1.3868 3.8885
Ac 0.0000 4.3459 11.6654
Si 2.3109 1.0450 7.1109
Si 0.0000 4.6877 14.8878
Si 2.3109 1.0450 0.6661
Si 0.0000 4.6877 8.4431
Si 0.0000 3.6313 3.8885
Si 2.3109 2.1014 11.6654
```

***

# 16
LiAc2Si3: optimized geometry, GGA-PBE.

Results
- Fermi-level density of states: 2.61 states/eV/f.u.
- ρ: 6.2 g/cm3
- Formation energy (no corrections): -557 meV per atom
- Space-group type: No. 25

```
6
Lattice="-2.3274 -1.3307 3.6848 -0.2282 -4.0016 -1.5892 6.3290 -1.7042 3.3821" Properties=species:S:1:pos:R:3 pbc="T T T"
Li 0.8017 -3.2261 2.1590
Ac 6.1648 -3.6915 2.5607
Ac 3.2128 -0.8651 1.7168
Si 4.1405 -2.0936 4.6768
Si -0.1424 -0.9403 2.3881
Si 2.9772 -3.8119 3.3215
```

***

# 17
LiAc3Si3: optimized geometry, GGA-PBE.

Results
- Fermi-level density of states: 5.18 states/eV/f.u.
- ρ: 6.8 g/cm3
- Formation energy (no corrections): -521 meV per atom
- Space-group type: No. 12

```
14
Lattice="4.6093 0.0000 0.6943 2.2738 5.8187 0.5522 0.2304 0.0281 14.1173" Properties=species:S:1:pos:R:3 pbc="T T T"
Li 3.7587 0.5245 6.3412
Li 3.3548 5.3222 9.0227
Ac 3.3136 1.8126 9.2959
Ac 3.7999 4.0341 6.0679
Ac 1.8324 1.5828 3.4826
Ac 5.2812 4.2639 11.8812
Ac 2.6826 1.7294 13.4853
Ac 4.4310 4.1173 1.8785
Si 5.7609 4.0103 8.6967
Si 1.3527 1.8364 6.6671
Si 2.6620 5.1421 13.6219
Si 4.4515 0.7046 1.7419
Si 6.4259 5.0529 4.2820
Si 0.6877 0.7938 11.0818
```

***

# 18
LiAc3Si: optimized geometry, GGA-PBE.

Results
- Fermi-level density of states: 3.99 states/eV/f.u.
- ρ: 6.6 g/cm3
- Formation energy (no corrections): -61 meV per atom
- Space-group type: No. 14

```
20
Lattice="6.4083 0.0000 0.0000 0.0000 11.0687 0.5536 0.0000 -1.2198 10.1128" Properties=species:S:1:pos:R:3 pbc="T T T"
Li 0.6831 9.2459 5.7110
Li 5.7252 0.6030 4.9554
Li 3.8873 -0.0069 10.0119
Li 2.5210 9.8558 0.6546
Ac 6.0028 10.2875 2.2842
Ac 0.4055 -0.4386 8.3823
Ac 2.7987 0.1713 3.3258
Ac 3.6097 9.6776 7.3406
Ac 4.3807 7.5747 4.3372
Ac 2.0276 2.2742 6.3293
Ac 1.1766 2.8841 1.2729
Ac 5.2317 6.9648 9.3936
Ac 1.5269 5.9345 6.7474
Ac 4.8814 3.9144 3.9191
Ac 4.7311 3.3045 8.9755
Ac 1.6772 6.5444 1.6910
Si 4.9413 6.1273 1.6213
Si 1.4670 3.7216 9.0452
Si 1.7371 4.3315 3.9888
Si 4.6712 5.5174 6.6777
```

***

# 19
LiAc12Si6: optimized geometry, GGA-PBE.

Results
- Fermi-level density of states: 16.20 states/eV/f.u.
- ρ: 7.1 g/cm3
- Formation energy (no corrections): -349 meV per atom
- Space-group type: No. 204

```
19
Lattice="9.0266 0.0000 -3.1914 -4.5133 7.8173 -3.1914 0.0000 0.0000 9.5742" Properties=species:S:1:pos:R:3 pbc="T T T"
Li 0.0000 0.0000 0.0000
Ac 2.2251 0.8927 6.4274
Ac 0.5154 3.8540 -0.7289
Ac 3.9979 3.9633 3.9203
Ac 2.2882 6.9246 -3.2360
Ac -2.6276 6.3366 -0.0446
Ac 3.5954 1.4807 0.7289
Ac 0.9179 6.3366 2.4625
Ac 7.1410 1.4807 3.2360
Ac 5.9467 2.3734 -2.4625
Ac 0.3395 2.3734 3.1468
Ac 4.1739 5.4439 0.0446
Ac -1.4333 5.4439 5.6539
Si 1.2756 3.9087 5.6891
Si 3.2377 3.9087 -2.4977
Si 0.4905 6.9677 -0.6937
Si 4.0228 0.8496 3.8851
Si 6.2794 3.0590 0.6937
Si -1.7661 4.7583 2.4977
```

***

# 20
LiAc3Si4: optimized geometry, GGA-PBE.

Results
- Fermi-level density of states: 3.16 states/eV/f.u.
- ρ: 6.3 g/cm3
- Formation energy (no corrections): -472 meV per atom
- Space-group type: No. 65

```
8
Lattice="-3.3291 -2.7768 1.3104 1.2011 -2.9850 -3.2738 6.7691 -0.1460 9.0616" Properties=species:S:1:pos:R:3 pbc="T T T"
Li -1.6646 -1.3884 0.6552
Ac 0.6005 -1.4925 -1.6369
Ac 2.0324 -1.4558 2.0784
Ac 2.6087 -4.4519 5.0198
Si 4.3581 -2.0632 6.7000
Si 0.2829 -3.8446 0.3982
Si 1.7574 -4.9033 1.9007
Si 2.8836 -1.0045 5.1974
```